Entry 1:
An optimized crystal structure of SrRe2Os. Source: Alexandria via LeMat-Bulk, functional PBEsol.

Cell: 3.8665 3.8665 4.6469 Å, 90.00 90.00 90.00°
Last column: nearest neighbours and their distance in Å.
Space group P4/mmm (No. 123)
One atom of each set of equivalent atoms:
Sr1 0.0000 0.0000 0.0000 x1  4 Os 2.73, 8 Re 3.02
Re1 0.0000 0.5000 0.5000 x2  4 Re 2.73, 4 Os 3.02, 4 Sr 3.02
Os1 0.5000 0.5000 0.0000 x1  4 Sr 2.73, 8 Re 3.02

Calculated values
DOS(E_F), states/eV per cell: 5.7
Total magnetic moment, μB/f.u.: 0.00
Final energy, eV for the cell shown: -34.78
ΔH_f (0 K), eV per atom: 1.49

***

Entry 2:
An optimized crystal structure of Sr2ReOs. Source: Alexandria via LeMat-Bulk, functional PBEsol.

Cell: 2.8225 2.8225 10.1587 Å, 90.00 90.00 90.00°
Last column: nearest neighbours and their distance in Å.
Space group P4/mmm (No. 123)
One atom of each set of equivalent atoms:
Sr1 0.0000 0.0000 0.2430 x2  4 Sr 2.82
Re1 0.5000 0.5000 0.5000 x1  4 Re 2.82
Os1 0.5000 0.5000 0.0000 x1  4 Os 2.82

Calculated values
DOS(E_F), states/eV per cell: 3.7
Total magnetic moment, μB/f.u.: 0.00
Final energy, eV for the cell shown: -24.29
ΔH_f (0 K), eV per atom: 1.23

***

Entry 3:
An optimized crystal structure of TaRe2Os. Source: Alexandria via LeMat-Bulk, functional PBEsol.

Cell: 2.7425 2.7425 8.1162 Å, 90.00 90.00 90.00°
Last column: nearest neighbours and their distance in Å.
Space group P4/mmm (No. 123)
One atom of each set of equivalent atoms:
Ta1 0.0000 0.0000 0.0000 x1  4 Ta 2.74, 8 Re 2.93
Re1 0.5000 0.5000 0.2700 x2  4 Os 2.69, 4 Re 2.74, 4 Ta 2.93
Os1 0.0000 0.0000 0.5000 x1  8 Re 2.69, 4 Os 2.74

Calculated values
DOS(E_F), states/eV per cell: 3.4
Total magnetic moment, μB/f.u.: 0.00
Final energy, eV for the cell shown: -51.29
ΔH_f (0 K), eV per atom: 0.04

***

Entry 4:
An optimized crystal structure of TaReOs2. Source: Alexandria via LeMat-Bulk, functional PBEsol.

Cell: 2.7602 2.7602 27.3401 Å, 90.00 90.00 120.00°
Last column: nearest neighbours and their distance in Å.
Space group R3m (No. 160, hexagonal axes)
One atom of each set of equivalent atoms:
Ta1 0.0000 0.0000 0.0000 x3  6 Ta 2.76, 3 Os 2.81, 3 Re 2.92
Re1 0.0000 0.0000 0.2438 x3  3 Os 2.67, 6 Re 2.76, 3 Ta 2.92
Os1 0.0000 0.0000 0.4990 x3  3 Re 2.67, 9 Os 2.72-2.76
Os2 0.0000 0.0000 0.7515 x3  9 Os 2.72-2.76, 3 Ta 2.81

Calculated values
DOS(E_F), states/eV per cell: 11.3
Total magnetic moment, μB/f.u.: 0.00
Final energy, eV for the cell shown: -149.29
ΔH_f (0 K), eV per atom: 0.14

***

Entry 5:
An optimized crystal structure of TaRe2Os. Source: Alexandria via LeMat-Bulk, functional PBEsol.

Cell: 3.1411 4.3879 8.8282 Å, 90.00 90.00 90.00°
Last column: nearest neighbours and their distance in Å.
Space group Immm (No. 71)
One atom of each set of equivalent atoms:
Ta1 0.0000 0.0000 0.0000 x2  4 Re 2.63, 4 Os 2.70
Re1 0.0000 0.5000 0.2607 x4  2 Ta 2.63, 4 Re 2.70, 2 Os 2.79
Os1 0.0000 0.0000 0.5000 x2  4 Ta 2.70, 4 Re 2.79

Calculated values
DOS(E_F), states/eV per cell: 5.2
Total magnetic moment, μB/f.u.: 0.00
Final energy, eV for the cell shown: -102.19
ΔH_f (0 K), eV per atom: 0.08

***

Entry 6:
An optimized crystal structure of Ta2ReOs. Source: Alexandria via LeMat-Bulk, functional PBEsol.

Cell: 6.3213 6.3213 6.3213 Å, 90.00 90.00 90.00°
Last column: nearest neighbours and their distance in Å.
Space group Fm-3m (No. 225)
One atom of each set of equivalent atoms:
Ta1 0.2500 0.2500 0.2500 x8  4 Re 2.74, 4 Os 2.74
Re1 0.0000 0.0000 0.0000 x4  8 Ta 2.74
Os1 0.0000 0.0000 0.5000 x4  8 Ta 2.74

Calculated values
DOS(E_F), states/eV per cell: 9.4
Total magnetic moment, μB/f.u.: 0.02
Final energy, eV for the cell shown: -207.70
ΔH_f (0 K), eV per atom: -0.32

***

Entry 7:
An optimized crystal structure of TaReOs2. Source: Alexandria via LeMat-Bulk, functional PBEsol.

Cell: 2.7828 3.8599 5.5815 Å, 90.00 90.00 90.00°
Last column: nearest neighbours and their distance in Å.
Space group Pmmm (No. 47)
One atom of each set of equivalent atoms:
Ta1 0.0000 0.0000 0.0000 x1  2 Ta 2.78, 2 Re 2.79, 8 Os 2.79
Re1 0.0000 0.0000 0.5000 x1  8 Os 2.72, 2 Re 2.78, 2 Ta 2.79
Os1 0.5000 0.5000 0.2626 x2  4 Os 2.65-2.93, 4 Re 2.72, 4 Ta 2.79

Calculated values
DOS(E_F), states/eV per cell: 3.5
Total magnetic moment, μB/f.u.: 0.00
Final energy, eV for the cell shown: -50.52
ΔH_f (0 K), eV per atom: -0.05

***

Entry 8:
An optimized crystal structure of Ta2ReOs. Source: Alexandria via LeMat-Bulk, functional PBEsol.

Cell: 3.1611 3.1611 6.3253 Å, 90.00 90.00 90.00°
Last column: nearest neighbours and their distance in Å.
Space group P4/mmm (No. 123)
One atom of each set of equivalent atoms:
Ta1 0.0000 0.0000 0.2461 x2  4 Re 2.72, 4 Os 2.75
Re1 0.5000 0.5000 0.0000 x1  8 Ta 2.72
Os1 0.5000 0.5000 0.5000 x1  8 Ta 2.75

Calculated values
DOS(E_F), states/eV per cell: 2.3
Total magnetic moment, μB/f.u.: 0.00
Final energy, eV for the cell shown: -51.99
ΔH_f (0 K), eV per atom: -0.34

***

Entry 9:
An optimized crystal structure of TaRe2Os. Source: Alexandria via LeMat-Bulk, functional PBEsol.

Cell: 2.8019 3.8723 5.6154 Å, 90.00 90.00 90.00°
Last column: nearest neighbours and their distance in Å.
Space group Pmm2 (No. 25)
One atom of each set of equivalent atoms:
Ta1 0.0000 0.0000 0.0000 x1  4 Os 2.78, 6 Re 2.79-2.83, 2 Ta 2.80
Re1 0.0000 0.0000 0.4971 x1  6 Re 2.72-2.80, 4 Os 2.75, 2 Ta 2.79-2.82
Re2 0.5000 0.5000 0.7299 x1  2 Os 2.67-2.94, 6 Re 2.72-2.80, 4 Ta 2.83
Os1 0.5000 0.5000 0.2539 x1  6 Re 2.67-2.94, 4 Ta 2.78, 2 Os 2.80

Calculated values
DOS(E_F), states/eV per cell: 4.2
Total magnetic moment, μB/f.u.: 0.00
Final energy, eV for the cell shown: -51.32
ΔH_f (0 K), eV per atom: 0.03

***

Entry 10:
An optimized crystal structure of Ta2ReOs. Source: Alexandria via LeMat-Bulk, functional PBEsol.

Cell: 2.7888 4.4742 5.1846 Å, 90.00 101.54 90.00°
Last column: nearest neighbours and their distance in Å.
Space group Pm (No. 6)
One atom of each set of equivalent atoms:
Ta1 0.0000 0.0000 0.0000 x1  2 Os 2.66, 2 Re 2.68-2.69, 4 Ta 2.79-2.82
Ta2 0.2529 0.5000 0.7256 x1  2 Re 2.66, 2 Os 2.68-2.69, 4 Ta 2.79-2.82
Re1 0.4848 0.0000 0.5019 x1  4 Ta 2.66-2.69, 2 Re 2.79, 2 Os 2.85
Os1 0.7633 0.5000 0.2242 x1  4 Ta 2.66-2.69, 2 Os 2.79, 2 Re 2.85

Calculated values
DOS(E_F), states/eV per cell: 3.0
Total magnetic moment, μB/f.u.: 0.00
Final energy, eV for the cell shown: -51.15
ΔH_f (0 K), eV per atom: -0.12

***

Entry 11:
An optimized crystal structure of Ta2ReOs. Source: Alexandria via LeMat-Bulk, functional PBEsol.

Cell: 6.3127 6.3127 6.3127 Å, 90.00 90.00 90.00°
Last column: nearest neighbours and their distance in Å.
Space group F-43m (No. 216)
One atom of each set of equivalent atoms:
Ta1 0.0000 0.0000 0.0000 x4  4 Os 2.73, 4 Ta 2.73
Ta2 0.2500 0.2500 0.2500 x4  4 Ta 2.73, 4 Re 2.73
Re1 0.0000 0.0000 0.5000 x4  4 Ta 2.73, 4 Os 2.73
Os1 0.2500 0.2500 0.7500 x4  4 Re 2.73, 4 Ta 2.73

Calculated values
DOS(E_F), states/eV per cell: 12.5
Total magnetic moment, μB/f.u.: 0.00
Final energy, eV for the cell shown: -203.54
ΔH_f (0 K), eV per atom: -0.06

***

Entry 12:
An optimized crystal structure of TaRe2Os. Source: Alexandria via LeMat-Bulk, functional PBEsol.

Cell: 2.7674 2.7674 7.9715 Å, 90.00 90.00 90.00°
Last column: nearest neighbours and their distance in Å.
Space group P4mm (No. 99)
One atom of each set of equivalent atoms:
Ta1 0.0000 0.0000 0.0000 x1  4 Ta 2.77, 4 Os 2.87, 4 Re 2.91
Re1 0.0000 0.0000 0.4899 x1  4 Os 2.66, 8 Re 2.74-2.77
Re2 0.5000 0.5000 0.7301 x1  8 Re 2.74-2.77, 4 Ta 2.91
Os1 0.5000 0.5000 0.2630 x1  4 Re 2.66, 4 Os 2.77, 4 Ta 2.87

Calculated values
DOS(E_F), states/eV per cell: 3.7
Total magnetic moment, μB/f.u.: 0.00
Final energy, eV for the cell shown: -51.37
ΔH_f (0 K), eV per atom: 0.01